# CaZrNiGe2 PBE optimized geometry
data_CaZrNiGe2
_chemical_formula_sum 'Ca1 Zr1 Ni1 Ge2'
_symmetry_space_group_name_H-M 'P 1'
_symmetry_Int_Tables_number 1
_cell_length_a 4.662
_cell_length_b 4.662
_cell_length_c 4.914
_cell_angle_alpha 90.00
_cell_angle_beta 90.00
_cell_angle_gamma 90.00
loop_
_symmetry_equiv_pos_as_xyz
'x,y,z'
loop_
_atom_site_label
_atom_site_type_symbol
_atom_site_fract_x
_atom_site_fract_y
_atom_site_fract_z
Ca1 Ca 0.000 0.000 0.000
Zr1 Zr 0.500 0.500 0.000
Ni1 Ni 0.500 0.500 0.500
Ge1 Ge 0.000 0.500 0.500
Ge2 Ge 0.500 0.000 0.500
# - Formation energy: 0.02 eV/atom
# - Space-group type: No. 123
# - Volume: 21.4 Å³ per atom
# - Spin magnetization: 1.36 μB per cell